Here is a relaxed Th3PaP4 crystal from the Alexandria database. Energies are from PBE-GGA.

```
Th3PaP4
1.0
7.108 0.070 0.000
-2.425 6.678 0.000
0.000 0.000 8.179
P Pa Th
8 2 6
Cartesian
6.477 1.705 5.155
2.971 1.641 7.197
2.923 1.670 3.025
-0.583 1.606 0.982
5.266 5.142 7.197
1.761 5.078 5.155
1.712 5.107 0.982
-1.794 5.043 3.025
5.331 0.052 7.162
1.777 0.017 1.017
5.331 0.052 3.060
1.777 0.017 5.119
4.119 3.391 5.119
4.119 3.391 1.018
0.564 3.356 3.061
0.564 3.356 7.161
```

Output
Formation enthalpy at 0 K = -1.482 eV/atom
Symmetry = P2/c, No. 13
VASP energy = -130.504 eV per cell
Calculated volume = 389.7 Å³/cell


Here is a relaxed ThPa4P5 crystal from the Alexandria database. Energies are from PBE-GGA.

```
ThPa4P5
1.0
-3.064 1.200 -2.270
-3.333 -5.723 -2.045
-6.993 -0.694 5.553
Th Pa P
1 4 5
Cartesian
0.000 0.000 0.000
-6.713 -0.863 1.566
-3.356 -2.151 -0.127
-10.035 -3.066 1.366
-6.677 -4.354 -0.328
-8.474 -5.405 1.543
-4.916 0.188 -0.304
-8.531 -1.951 3.445
-5.163 -3.208 1.754
-4.860 -3.267 -2.207
```

Output
Formation enthalpy at 0 K = -1.366 eV/atom
Symmetry = C2/m, No. 12
VASP energy = -86.116 eV per cell
Calculated volume = 226.7 Å³/cell


Here is a relaxed Th4PaP5 crystal from the Alexandria database. Energies are from PBE-GGA.

```
Th4PaP5
1.0
5.236 0.000 2.526
2.618 6.491 1.263
-0.202 0.000 7.109
Th Pa P
4 1 5
Cartesian
2.996 2.579 7.184
6.160 5.169 7.314
1.503 1.322 3.589
4.667 3.912 3.719
0.006 0.000 0.003
5.585 2.537 8.506
3.523 5.235 6.090
4.139 1.256 4.813
2.077 3.955 2.397
2.625 0.000 1.266
```

Output
Formation enthalpy at 0 K = -1.496 eV/atom
Symmetry = I4/m, No. 87
VASP energy = -81.186 eV per cell
Calculated volume = 245.0 Å³/cell


Here is a relaxed ThPa2P4 crystal from the Alexandria database. Energies are from PBE-GGA.

```
ThPa2P4
1.0
3.983 0.000 0.000
-1.992 6.668 0.000
0.000 0.000 12.699
Th Pa P
2 4 8
Cartesian
1.992 1.568 9.524
0.000 5.100 3.175
0.000 1.757 5.535
1.992 4.911 11.884
0.000 1.757 0.815
1.992 4.911 7.164
1.992 3.545 1.606
1.992 3.545 4.744
0.000 3.123 11.093
0.000 3.123 7.955
1.992 6.187 9.524
0.000 0.481 3.175
1.992 0.000 0.000
1.992 0.000 6.349
```

Output
Formation enthalpy at 0 K = -1.094 eV/atom
Symmetry = Cmcm, No. 63
VASP energy = -111.412 eV per cell
Calculated volume = 337.3 Å³/cell


Here is a relaxed Tm2ThPaP4 crystal from the Alexandria database. Energies are from PBE-GGA.

```
Tm2ThPaP4
1.0
-1.337 -1.506 3.467
-5.875 -1.880 -3.083
0.660 -6.431 -2.539
Tm Th Pa P
2 1 1 4
Cartesian
0.660 -6.431 -2.539
-0.339 -3.969 0.464
-3.606 -1.693 0.192
-2.607 -4.156 -2.811
-3.963 -6.184 -4.215
-2.590 -3.633 2.060
-4.933 -3.812 -1.240
-1.620 -6.005 -0.915
```

Output
Formation enthalpy at 0 K = -1.501 eV/atom
Symmetry = P2/m, No. 10
VASP energy = -59.507 eV per cell
Calculated volume = 181.0 Å³/cell


Here is a relaxed ThU2Pa3P6 crystal from the Alexandria database. Energies are from PBE-GGA.

```
ThU2Pa3P6
1.0
-6.774 0.072 -1.313
2.459 -3.751 5.244
0.718 6.341 2.687
Th U Pa P
1 2 3 6
Cartesian
0.000 0.000 0.000
-0.611 -2.480 3.063
-3.704 -1.199 0.867
1.311 0.043 5.517
-4.908 2.619 1.100
-1.799 1.331 3.309
-4.252 2.646 3.809
-3.018 -1.142 3.584
0.655 0.016 2.808
-1.099 1.340 6.049
-0.579 3.804 3.034
-2.498 1.322 0.568
```

Output
Formation enthalpy at 0 K = -1.226 eV/atom
Symmetry = C2/m, No. 12
VASP energy = -105.652 eV per cell
Calculated volume = 269.3 Å³/cell


Here is a relaxed Th2UPa3P6 crystal from the Alexandria database. Energies are from PBE-GGA.

```
Th2UPa3P6
1.0
-3.277 1.746 1.542
-0.308 -5.643 5.738
6.651 5.367 2.813
Th U Pa P
2 1 3 6
Cartesian
1.511 1.283 7.002
1.554 0.188 3.091
-1.638 0.873 0.771
-1.792 -1.948 3.640
1.643 4.094 4.097
1.422 -2.624 5.995
3.064 -1.050 7.703
-0.175 -0.417 5.343
0.001 2.520 2.390
3.259 5.670 5.746
-0.194 -4.200 4.346
3.241 1.888 4.750
```

Output
Formation enthalpy at 0 K = -1.326 eV/atom
Symmetry = C2/m, No. 12
VASP energy = -102.988 eV per cell
Calculated volume = 276.4 Å³/cell


Here is a relaxed YThPa2P4 crystal from the Alexandria database. Energies are from PBE-GGA.

```
YThPa2P4
1.0
-1.899 -1.402 3.262
6.038 -0.127 3.460
0.982 6.116 3.200
Y Th Pa P
1 1 2 4
Cartesian
2.070 -0.764 3.361
3.510 2.995 3.330
0.982 6.116 3.200
-0.458 2.357 3.231
5.316 4.500 5.028
-0.195 0.087 4.894
3.879 0.681 5.035
1.242 3.906 4.887
```

Output
Formation enthalpy at 0 K = -1.438 eV/atom
Symmetry = P2/m, No. 10
VASP energy = -66.022 eV per cell
Calculated volume = 184.1 Å³/cell


Here is a relaxed ThZr2PaP4 crystal from the Alexandria database. Energies are from PBE-GGA.

```
ThZr2PaP4
1.0
3.923 0.000 0.000
0.000 6.695 -0.098
0.000 2.389 6.345
Th Zr Pa P
1 2 1 4
Cartesian
0.000 4.542 3.124
0.000 2.389 6.345
1.962 1.195 3.173
1.962 5.737 6.296
0.000 6.923 4.685
3.923 2.161 1.562
1.962 5.725 1.431
1.962 3.359 4.816
```

Output
Formation enthalpy at 0 K = -1.395 eV/atom
Symmetry = P2/m, No. 10
VASP energy = -66.808 eV per cell
Calculated volume = 167.6 Å³/cell


Here is a relaxed Th2ZrPaP4 crystal from the Alexandria database. Energies are from PBE-GGA.

```
Th2ZrPaP4
1.0
4.010 0.000 0.000
0.000 6.891 0.106
0.000 -2.421 6.516
Th Zr Pa P
2 1 1 4
Cartesian
2.005 -1.210 3.258
0.000 2.235 3.311
0.000 0.000 0.000
2.005 3.445 0.053
2.005 1.088 1.518
2.005 3.382 5.104
0.000 -0.138 5.033
0.000 4.608 1.589
```

Output
Formation enthalpy at 0 K = -1.424 eV/atom
Symmetry = P2/m, No. 10
VASP energy = -65.919 eV per cell
Calculated volume = 181.1 Å³/cell


Here is a relaxed PaTiP3 crystal from the Alexandria database. Energies are from PBE-GGA.

```
PaTiP3
1.0
5.581 0.000 0.000
0.000 5.496 0.000
0.000 0.000 11.730
Pa Ti P
4 4 12
Cartesian
4.186 2.716 7.965
1.395 2.780 3.765
4.186 5.464 3.765
1.395 0.032 7.965
2.790 1.374 0.923
0.000 4.122 10.807
2.790 4.122 10.807
0.000 1.374 0.923
0.000 1.374 5.846
2.790 4.122 5.884
0.000 4.122 5.884
2.790 1.374 5.846
1.395 0.622 10.760
4.186 4.874 0.970
1.395 3.370 0.970
4.186 2.126 10.760
1.395 2.812 8.943
4.186 2.683 2.787
1.395 0.065 2.787
4.186 5.431 8.943
```

Output
Formation enthalpy at 0 K = -0.917 eV/atom
Symmetry = Pbcm, No. 57
VASP energy = -152.828 eV per cell
Calculated volume = 359.8 Å³/cell


Here is a relaxed PaTiP crystal from the Alexandria database. Energies are from PBE-GGA.

```
PaTiP
1.0
5.461 0.000 0.000
0.000 7.173 0.808
0.000 -2.498 6.084
Pa P Ti
4 4 4
Cartesian
1.365 2.547 1.575
4.096 -1.459 4.913
4.096 2.128 5.317
1.365 6.134 1.979
1.365 -1.511 5.383
4.096 2.599 1.105
4.096 6.186 1.509
1.365 2.076 5.787
1.365 4.052 4.371
4.096 4.210 2.924
4.096 0.623 2.520
1.365 0.465 3.968
```

Output
Formation enthalpy at 0 K = -0.629 eV/atom
Symmetry = Cmcm, No. 63
VASP energy = -98.746 eV per cell
Calculated volume = 249.4 Å³/cell


Please write out number 2 again, unchanged.
Here is a relaxed ThPa4P5 crystal from the Alexandria database. Energies are from PBE-GGA.

```
ThPa4P5
1.0
-3.064 1.200 -2.270
-3.333 -5.723 -2.045
-6.993 -0.694 5.553
Th Pa P
1 4 5
Cartesian
0.000 0.000 0.000
-6.713 -0.863 1.566
-3.356 -2.151 -0.127
-10.035 -3.066 1.366
-6.677 -4.354 -0.328
-8.474 -5.405 1.543
-4.916 0.188 -0.304
-8.531 -1.951 3.445
-5.163 -3.208 1.754
-4.860 -3.267 -2.207
```

Output
Formation enthalpy at 0 K = -1.366 eV/atom
Symmetry = C2/m, No. 12
VASP energy = -86.116 eV per cell
Calculated volume = 226.7 Å³/cell


The lowest VASP energy belongs to which entry? PaTiP3